1.
A plane-wave DFT calculation with PBE was carried out for an optimized crystal structure of TcPOs2.

Output
Formation energy from the elements, eV per formula unit: 0.37
Raw total energy, eV per atom: -9.4665
ρ, g/cm³: 15.3
SG: R-3m, No. 166

Unit cell a=8.323 b=8.323 c=8.323 alpha=19.36 beta=19.36 gamma=19.36
Fractional coordinates of all 4 atoms:
Tc: 0.000 0.000 0.000
Os: 0.757 0.757 0.757
Os: 0.243 0.243 0.243
P: 0.500 0.500 0.500



2.
A plane-wave DFT calculation with PBE was carried out for an optimized crystal structure of Ni2OsW.

Output
Formation energy from the elements, eV per formula unit: 0.19
ΔE to the lowest computed polymorph, kJ/mol of atoms: 7.7
Raw total energy, eV per atom: -8.8887
ρ, g/cm³: 15.5
SG: Pmm2, No. 25

Unit cell a=2.679 b=3.728 c=5.278 alpha=90.00 beta=90.00 gamma=90.00
Fractional coordinates of all 4 atoms:
Ni: 0.000 0.000 0.013
Ni: 0.500 0.500 0.238
W: 0.500 0.500 0.760
Os: 0.000 0.000 0.489



3.
A plane-wave DFT calculation with PBE was carried out for an optimized crystal structure of NbHF2.

Output
ΔE to the lowest computed polymorph, kJ/mol of atoms: 35.7
Raw total energy, eV per atom: -5.0689
ρ, g/cm³: 5.4
SG: R-3m, No. 166

Unit cell a=6.340 b=6.340 c=6.340 alpha=25.06 beta=25.06 gamma=25.06
Fractional coordinates of all 4 atoms:
F: 0.886 0.886 0.886
F: 0.114 0.114 0.114
Nb: 0.000 0.000 0.000
H: 0.500 0.500 0.500



4.
A plane-wave DFT calculation with PBE was carried out for an optimized crystal structure of Nd2Ge4Rh3Au.

Output
Formation energy from the elements, eV per formula unit: -7.70
Raw total energy, eV per atom: -6.1038
ρ, g/cm³: 9.4
SG: P-4m2, No. 115

Unit cell a=4.325 b=4.325 c=10.192 alpha=90.00 beta=90.00 gamma=90.00
Fractional coordinates of all 10 atoms:
Rh: 0.500 0.000 0.879
Rh: 0.000 0.000 0.500
Rh: 0.000 0.500 0.121
Ge: 0.000 0.500 0.359
Ge: 0.500 0.500 0.000
Ge: 0.000 0.000 0.000
Ge: 0.500 0.000 0.641
Au: 0.500 0.500 0.500
Nd: 0.000 0.500 0.761
Nd: 0.500 0.000 0.239



| no. | magnetization (μB/f.u.) |
| --- | --- |
| 1 | 0.00 |
| 2 | 0.00 |
| 3 | 0.00 |
| 4 | 0.00 |